Entry 1:
# TeP2W (GGA-PBE, relaxed)
data_TeP2W
_symmetry_space_group_name_H-M 'P 1'
_symmetry_Int_Tables_number 1
_cell_length_a 4.281
_cell_length_b 4.281
_cell_length_c 6.982
_cell_angle_alpha 81.58
_cell_angle_beta 81.58
_cell_angle_gamma 45.64
loop_
_symmetry_equiv_pos_as_xyz
'x,y,z'
loop_
_atom_site_label
_atom_site_type_symbol
_atom_site_fract_x
_atom_site_fract_y
_atom_site_fract_z
W1 W 0.245 0.245 0.156
P1 P 0.775 0.775 0.871
P2 P 0.964 0.964 0.056
Te1 Te 0.517 0.517 0.417
# - Magnetic moment: 0.00 μB per cell
# - ρ: 6.865 Mg/m³
# - ΔE_f (raw): -0.012 eV per atom

---

Entry 2:
# CuGeP (GGA-PBE, relaxed)
data_CuGeP
_symmetry_space_group_name_H-M 'P 1'
_symmetry_Int_Tables_number 1
_cell_length_a 3.908
_cell_length_b 3.913
_cell_length_c 3.900
_cell_angle_alpha 84.02
_cell_angle_beta 63.25
_cell_angle_gamma 84.05
loop_
_symmetry_equiv_pos_as_xyz
'x,y,z'
loop_
_atom_site_label
_atom_site_type_symbol
_atom_site_fract_x
_atom_site_fract_y
_atom_site_fract_z
Cu1 Cu 0.966 0.576 0.694
P1 P 0.613 0.665 0.342
Ge1 Ge 0.362 0.209 0.090
# - Energy: -4.556 eV/atom
# - Magnetic moment: 0.00 μB per cell
# - ρ: 5.252 Mg/m³

---

Entry 3:
# YC7 (GGA-PBE, relaxed)
data_YC7
_symmetry_space_group_name_H-M 'P 1'
_symmetry_Int_Tables_number 1
_cell_length_a 4.815
_cell_length_b 4.815
_cell_length_c 4.815
_cell_angle_alpha 60.00
_cell_angle_beta 60.00
_cell_angle_gamma 60.00
loop_
_symmetry_equiv_pos_as_xyz
'x,y,z'
loop_
_atom_site_label
_atom_site_type_symbol
_atom_site_fract_x
_atom_site_fract_y
_atom_site_fract_z
C1 C 0.000 0.500 0.000
C2 C 0.500 0.000 0.000
C3 C 0.000 0.000 0.500
C4 C 0.500 0.000 0.500
C5 C 0.500 0.500 0.000
C6 C 0.000 0.500 0.500
C7 C 0.500 0.500 0.500
Y1 Y 0.000 0.000 0.000
# - Energy: -5.319 eV/atom
# - Magnetic moment: 0.00 μB per cell
# - ρ: 3.638 Mg/m³

---

Entry 4:
# TaZnCr2 (GGA-PBE, relaxed)
data_TaZnCr2
_symmetry_space_group_name_H-M 'P 1'
_symmetry_Int_Tables_number 1
_cell_length_a 2.935
_cell_length_b 2.935
_cell_length_c 6.602
_cell_angle_alpha 90.00
_cell_angle_beta 90.00
_cell_angle_gamma 90.00
loop_
_symmetry_equiv_pos_as_xyz
'x,y,z'
loop_
_atom_site_label
_atom_site_type_symbol
_atom_site_fract_x
_atom_site_fract_y
_atom_site_fract_z
Cr1 Cr 0.500 0.500 0.209
Cr2 Cr 0.000 0.000 0.026
Zn1 Zn 0.500 0.500 0.779
Ta1 Ta 0.000 0.000 0.486
# - Energy: -8.010 eV/atom
# - Magnetic moment: 0.42 μB per cell
# - ρ: 10.230 Mg/m³

---

Entry 5:
# VTc2Mo2 (GGA-PBE, relaxed)
data_VTc2Mo2
_symmetry_space_group_name_H-M 'P 1'
_symmetry_Int_Tables_number 1
_cell_length_a 3.092
_cell_length_b 5.132
_cell_length_c 11.104
_cell_angle_alpha 112.36
_cell_angle_beta 81.66
_cell_angle_gamma 72.53
loop_
_symmetry_equiv_pos_as_xyz
'x,y,z'
loop_
_atom_site_label
_atom_site_type_symbol
_atom_site_fract_x
_atom_site_fract_y
_atom_site_fract_z
Mo1 Mo 0.709 0.732 0.850
Mo2 Mo 0.901 0.751 0.448
Mo3 Mo 0.099 0.249 0.552
Mo4 Mo 0.291 0.268 0.150
Tc1 Tc 0.088 0.764 0.060
Tc2 Tc 0.703 0.248 0.350
Tc3 Tc 0.297 0.752 0.650
Tc4 Tc 0.912 0.236 0.940
V1 V 0.499 0.751 0.247
V2 V 0.501 0.249 0.753
# - Energy: -10.387 eV/atom
# - Magnetic moment: 0.00 μB per cell
# - ρ: 9.811 Mg/m³

---

Entry 6:
# Pm8GaHg2 (GGA-PBE, relaxed)
data_Pm8GaHg2
_symmetry_space_group_name_H-M 'P 1'
_symmetry_Int_Tables_number 1
_cell_length_a 5.306
_cell_length_b 7.063
_cell_length_c 9.790
_cell_angle_alpha 107.99
_cell_angle_beta 105.72
_cell_angle_gamma 90.00
loop_
_symmetry_equiv_pos_as_xyz
'x,y,z'
loop_
_atom_site_label
_atom_site_type_symbol
_atom_site_fract_x
_atom_site_fract_y
_atom_site_fract_z
Pm1 Pm 0.336 0.013 0.672
Pm2 Pm 0.409 0.538 0.819
Pm3 Pm 0.984 0.225 0.967
Pm4 Pm 0.591 0.462 0.181
Pm5 Pm 0.664 0.987 0.328
Pm6 Pm 0.016 0.775 0.033
Pm7 Pm 0.199 0.324 0.398
Pm8 Pm 0.801 0.676 0.602
Ga1 Ga 0.500 0.000 0.000
Hg1 Hg 0.825 0.269 0.651
Hg2 Hg 0.175 0.731 0.349
# - Energy: -4.032 eV/atom
# - Magnetic moment: 0.00 μB per cell
# - ρ: 8.095 Mg/m³

---

Entry 7:
# CaY2Zr2 (GGA-PBE, relaxed)
data_CaY2Zr2
_symmetry_space_group_name_H-M 'P 1'
_symmetry_Int_Tables_number 1
_cell_length_a 9.211
_cell_length_b 9.211
_cell_length_c 3.548
_cell_angle_alpha 90.00
_cell_angle_beta 90.00
_cell_angle_gamma 90.00
loop_
_symmetry_equiv_pos_as_xyz
'x,y,z'
loop_
_atom_site_label
_atom_site_type_symbol
_atom_site_fract_x
_atom_site_fract_y
_atom_site_fract_z
Ca1 Ca 0.000 0.000 0.000
Ca2 Ca 0.500 0.500 0.000
Zr1 Zr 0.887 0.613 0.000
Zr2 Zr 0.113 0.387 0.000
Zr3 Zr 0.613 0.113 0.000
Zr4 Zr 0.387 0.887 0.000
Y1 Y 0.322 0.178 0.500
Y2 Y 0.678 0.822 0.500
Y3 Y 0.178 0.678 0.500
Y4 Y 0.822 0.322 0.500
# - Energy: -6.216 eV/atom
# - Magnetic moment: 1.15 μB per cell
# - ρ: 4.417 Mg/m³

---

Entry 8:
# BaDy3Cu (GGA-PBE, relaxed)
data_BaDy3Cu
_symmetry_space_group_name_H-M 'P 1'
_symmetry_Int_Tables_number 1
_cell_length_a 5.539
_cell_length_b 5.539
_cell_length_c 5.539
_cell_angle_alpha 90.00
_cell_angle_beta 90.00
_cell_angle_gamma 90.00
loop_
_symmetry_equiv_pos_as_xyz
'x,y,z'
loop_
_atom_site_label
_atom_site_type_symbol
_atom_site_fract_x
_atom_site_fract_y
_atom_site_fract_z
Dy1 Dy 0.500 0.000 0.000
Dy2 Dy 0.000 0.000 0.500
Dy3 Dy 0.000 0.500 0.000
Cu1 Cu 0.000 0.000 0.000
Ba1 Ba 0.500 0.500 0.500
# - Energy: -3.857 eV/atom
# - Magnetic moment: 0.00 μB per cell
# - ρ: 6.725 Mg/m³

---

Entry 9:
# Sr2LiCdSe (GGA-PBE, relaxed)
data_Sr2LiCdSe
_symmetry_space_group_name_H-M 'P 1'
_symmetry_Int_Tables_number 1
_cell_length_a 6.036
_cell_length_b 6.036
_cell_length_c 4.739
_cell_angle_alpha 90.00
_cell_angle_beta 90.00
_cell_angle_gamma 90.00
loop_
_symmetry_equiv_pos_as_xyz
'x,y,z'
loop_
_atom_site_label
_atom_site_type_symbol
_atom_site_fract_x
_atom_site_fract_y
_atom_site_fract_z
Sr1 Sr 0.000 0.500 0.000
Sr2 Sr 0.500 0.000 0.000
Se1 Se 0.000 0.000 0.000
Li1 Li 0.000 0.000 0.500
Cd1 Cd 0.500 0.500 0.500
# - Magnetic moment: 0.01 μB per cell
# - ρ: 3.592 Mg/m³
# - ΔE_f (raw): -0.753 eV per atom

---

Entry 10:
# MnZnHg2 (GGA-PBE, relaxed)
data_MnZnHg2
_symmetry_space_group_name_H-M 'P 1'
_symmetry_Int_Tables_number 1
_cell_length_a 9.765
_cell_length_b 9.765
_cell_length_c 9.765
_cell_angle_alpha 18.18
_cell_angle_beta 18.18
_cell_angle_gamma 18.18
loop_
_symmetry_equiv_pos_as_xyz
'x,y,z'
loop_
_atom_site_label
_atom_site_type_symbol
_atom_site_fract_x
_atom_site_fract_y
_atom_site_fract_z
Hg1 Hg 0.006 0.006 0.006
Hg2 Hg 0.240 0.240 0.240
Zn1 Zn 0.759 0.759 0.759
Mn1 Mn 0.494 0.494 0.494
# - Energy: -2.499 eV/atom
# - Magnetic moment: 3.79 μB per cell
# - ρ: 10.937 Mg/m³

---

Entry 11:
# SrGaBi2Os (GGA-PBE, relaxed)
data_SrGaBi2Os
_symmetry_space_group_name_H-M 'P 1'
_symmetry_Int_Tables_number 1
_cell_length_a 5.525
_cell_length_b 4.736
_cell_length_c 5.525
_cell_angle_alpha 90.00
_cell_angle_beta 90.00
_cell_angle_gamma 90.00
loop_
_symmetry_equiv_pos_as_xyz
'x,y,z'
loop_
_atom_site_label
_atom_site_type_symbol
_atom_site_fract_x
_atom_site_fract_y
_atom_site_fract_z
Bi1 Bi 0.000 0.000 0.500
Bi2 Bi 0.500 0.000 0.000
Ga1 Ga 0.000 0.000 0.000
Sr1 Sr 0.500 0.500 0.500
Os1 Os 0.000 0.500 0.000
# - Energy: -4.243 eV/atom
# - Magnetic moment: 0.00 μB per cell
# - ρ: 8.793 Mg/m³

---

Entry 12:
# AcInRhN (GGA-PBE, relaxed)
data_AcInRhN
_symmetry_space_group_name_H-M 'P 1'
_symmetry_Int_Tables_number 1
_cell_length_a 4.167
_cell_length_b 4.167
_cell_length_c 9.628
_cell_angle_alpha 90.00
_cell_angle_beta 90.00
_cell_angle_gamma 90.00
loop_
_symmetry_equiv_pos_as_xyz
'x,y,z'
loop_
_atom_site_label
_atom_site_type_symbol
_atom_site_fract_x
_atom_site_fract_y
_atom_site_fract_z
Ac1 Ac 0.500 0.000 0.144
Ac2 Ac 0.000 0.500 0.856
N1 N 0.500 0.000 0.890
N2 N 0.000 0.500 0.110
In1 In 0.000 0.000 0.500
In2 In 0.500 0.500 0.500
Rh1 Rh 0.000 0.500 0.315
Rh2 Rh 0.500 0.000 0.685
# - Magnetic moment: 0.00 μB per cell
# - ρ: 9.114 Mg/m³
# - ΔE_f (raw): -0.660 eV per atom